# 1
Below is a geometry-optimized YVBr3 structure, with properties calculated at the PBE level.

extended XYZ file:
```
5
Lattice="5.5944 0.0000 0.0000 0.0000 5.5944 0.0000 0.0000 0.0000 5.5944" Properties=species:S:1:pos:R:3 pbc="T T T"
Y 0.0000 0.0000 0.0000
Br 0.0000 2.7972 0.0000
Br 0.0000 0.0000 2.7972
Br 2.7972 0.0000 0.0000
V 2.7972 2.7972 2.7972
```

Output
- Magnetic moment: 4.88 Bohr magnetons per cell
- Energy above the lowest structure with this stoichiometry: 0.0 kJ/mol of formula units
- Raw formation energy: -0.43 eV/atom
- SG: No. 221


# 2
Below is a geometry-optimized YV2Br structure, with properties calculated at the PBE level.

extended XYZ file:
```
8
Lattice="4.1722 0.0000 0.0000 0.0000 4.1722 0.0000 2.0861 2.0861 9.4075" Properties=species:S:1:pos:R:3 pbc="T T T"
Y 0.0000 0.0000 0.0000
Y 4.1722 2.0861 4.7038
Br 2.0861 2.0861 0.0000
Br 2.0861 4.1722 4.7038
V 2.5140 1.0431 2.3519
V 1.6582 3.1292 2.3519
V 3.1292 3.7443 7.0556
V 5.2153 4.6001 7.0556
```

Output
- Magnetic moment: 0.00 Bohr magnetons per cell
- Raw formation energy: 0.59 eV/atom
- SG: No. 122


# 3
Below is a geometry-optimized YVBr2 structure, with properties calculated at the PBE level.

extended XYZ file:
```
4
Lattice="-2.6264 -4.1738 0.9570 -1.9734 -0.7355 4.5606 -4.9737 0.2572 0.6559" Properties=species:S:1:pos:R:3 pbc="T T T"
Y -4.7868 -2.3260 3.0867
Br -2.3934 -1.1630 1.5434
Br -7.1801 -3.4890 4.6301
V 0.0000 0.0000 0.0000
```

Output
- Magnetic moment: 4.57 Bohr magnetons per cell
- Energy above the lowest structure with this stoichiometry: 92.2 kJ/mol of formula units
- Raw formation energy: -0.17 eV/atom
- SG: No. 225


# 4
Below is a geometry-optimized VZn2Br structure, with properties calculated at the PBE level.

extended XYZ file:
```
4
Lattice="0.0000 3.4453 3.4453 3.4453 0.0000 3.4453 3.4453 3.4453 0.0000" Properties=species:S:1:pos:R:3 pbc="T T T"
Zn 1.7226 1.7226 1.7226
Zn 5.1679 5.1679 5.1679
Br 3.4453 3.4453 3.4453
V 0.0000 0.0000 0.0000
```

Output
- Magnetic moment: 3.82 Bohr magnetons per cell
- Energy above the lowest structure with this stoichiometry: 137.0 kJ/mol of formula units
- Raw formation energy: 0.71 eV/atom
- SG: No. 225


# 5
Below is a geometry-optimized V3ZnBr structure, with properties calculated at the PBE level.

extended XYZ file:
```
5
Lattice="-0.0816 -4.3169 1.1777 3.3138 0.7332 2.9173 -3.0069 0.9253 3.1831" Properties=species:S:1:pos:R:3 pbc="T T T"
Zn 0.1126 -1.3292 3.6391
Br 0.0000 0.0000 0.0000
V 1.6569 0.3666 1.4587
V -1.5035 0.4626 1.5915
V -0.0408 -2.1585 0.5889
```

Output
- Magnetic moment: 2.46 Bohr magnetons per cell
- Energy above the lowest structure with this stoichiometry: 0.0 kJ/mol of formula units
- Raw formation energy: 1.04 eV/atom
- SG: No. 221


# 6
Below is a geometry-optimized VZn2Br2 structure, with properties calculated at the PBE level.

extended XYZ file:
```
10
Lattice="7.3209 0.0000 0.0000 0.0000 7.3209 0.0000 0.0000 0.0000 4.3730" Properties=species:S:1:pos:R:3 pbc="T T T"
Zn 2.8102 6.4706 0.0000
Zn 6.4706 4.5108 0.0000
Zn 4.5108 0.8503 0.0000
Zn 0.8503 2.8102 0.0000
Br 1.7344 5.3949 2.1865
Br 5.3949 5.5865 2.1865
Br 5.5865 1.9260 2.1865
Br 1.9260 1.7344 2.1865
V 0.0000 0.0000 0.0000
V 3.6605 3.6605 0.0000
```

Output
- Magnetic moment: 8.44 Bohr magnetons per cell
- Energy above the lowest structure with this stoichiometry: 1.3 kJ/mol of formula units
- Raw formation energy: 0.34 eV/atom
- SG: No. 127


# 7
Below is a geometry-optimized VZnBr2 structure, with properties calculated at the PBE level.

extended XYZ file:
```
8
Lattice="9.0902 0.0000 0.0000 0.0000 9.0902 0.0000 4.5451 4.5451 2.7294" Properties=species:S:1:pos:R:3 pbc="T T T"
Zn 0.0000 0.0000 0.0000
Zn 9.0902 4.5451 1.3647
Br 5.5289 2.2726 0.6823
Br 3.5613 6.8177 0.6823
Br 6.8177 8.1065 2.0470
Br 11.3628 10.0740 2.0470
V 4.5451 4.5451 0.0000
V 4.5451 9.0902 1.3647
```

Output
- Magnetic moment: 6.01 Bohr magnetons per cell
- Energy above the lowest structure with this stoichiometry: 57.7 kJ/mol of formula units
- Raw formation energy: -0.21 eV/atom
- SG: No. 122


# 8
Below is a geometry-optimized VZn2Br2 structure, with properties calculated at the PBE level.

extended XYZ file:
```
5
Lattice="5.5823 0.0000 0.0000 0.0000 5.5823 0.0000 2.7912 2.7912 3.9089" Properties=species:S:1:pos:R:3 pbc="T T T"
Zn 2.7912 2.7912 1.1924
Zn 5.5823 5.5823 2.7165
Br 5.5823 2.7912 1.9545
Br 2.7912 5.5823 1.9545
V 0.0000 0.0000 0.0000
```

Output
- Magnetic moment: 3.87 Bohr magnetons per cell
- Energy above the lowest structure with this stoichiometry: 0.0 kJ/mol of formula units
- Raw formation energy: 0.34 eV/atom
- SG: No. 139


# 9
Below is a geometry-optimized VZnBr2 structure, with properties calculated at the PBE level.

extended XYZ file:
```
4
Lattice="2.1871 0.0000 10.7196 -1.0936 1.8941 10.7196 -1.0936 -1.8941 10.7196" Properties=species:S:1:pos:R:3 pbc="T T T"
Zn 0.0000 0.0000 0.0000
Br 0.0000 0.0000 28.2680
Br 0.0000 0.0000 3.8907
V 0.0000 0.0000 16.0794
```

Output
- Magnetic moment: 3.00 Bohr magnetons per cell
- Energy above the lowest structure with this stoichiometry: 0.0 kJ/mol of formula units
- Raw formation energy: -0.36 eV/atom
- SG: No. 166


# 10
Below is a geometry-optimized VZn3Br9 structure, with properties calculated at the PBE level.

extended XYZ file:
```
26
Lattice="8.5021 0.0000 3.5777 3.8960 8.8914 2.6326 0.3401 -0.2242 11.0829" Properties=species:S:1:pos:R:3 pbc="T T T"
V 2.1650 4.4643 1.4671
V 4.1616 -0.0935 7.2806
Zn 9.2775 4.9306 11.9142
Zn 8.3835 0.5969 5.5715
Zn 3.9494 8.1661 11.6528
Zn 3.7933 3.8324 5.6207
Zn 6.0356 1.9920 10.7440
Zn 6.8806 6.5498 6.1262
Br 3.6341 1.4201 5.2855
Br 4.3004 5.7537 11.5323
Br 4.2975 2.3383 12.4298
Br 6.8904 6.8960 8.5476
Br 2.0195 0.6309 8.4182
Br 2.8491 5.1886 3.7940
Br 9.1532 6.5748 5.1790
Br 5.1241 2.0170 8.4568
Br 10.4244 8.1844 9.3580
Br 9.7494 3.6266 14.0473
Br 8.0824 7.0460 11.9323
Br 9.2061 2.7124 6.4387
Br 6.1804 4.2922 5.4895
Br 10.8764 8.6258 13.4321
Br 8.0117 3.4466 10.4209
Br 5.7301 8.0044 4.4875
Br 7.2883 0.7671 3.3900
Br 3.1009 5.1008 7.5944
```

Output
- Magnetic moment: 4.00 Bohr magnetons per cell
- Raw formation energy: -0.78 eV/atom
- SG: No. 9


# 11
Below is a geometry-optimized VZn2Br structure, with properties calculated at the PBE level.

extended XYZ file:
```
8
Lattice="7.8506 0.0000 0.0000 0.0000 7.8506 0.0000 3.9253 3.9253 2.6631" Properties=species:S:1:pos:R:3 pbc="T T T"
Zn 5.7668 1.9627 0.6658
Zn 2.0839 5.8880 0.6658
Zn 5.8880 6.0092 1.9973
Zn 9.8133 9.6921 1.9973
Br 0.0000 0.0000 0.0000
Br 7.8506 3.9253 1.3315
V 3.9253 3.9253 0.0000
V 3.9253 7.8506 1.3315
```

Output
- Magnetic moment: 6.86 Bohr magnetons per cell
- Energy above the lowest structure with this stoichiometry: 0.0 kJ/mol of formula units
- Raw formation energy: 0.36 eV/atom
- SG: No. 122


# 12
Below is a geometry-optimized VZnBr2 structure, with properties calculated at the PBE level.

extended XYZ file:
```
4
Lattice="0.0000 3.5043 3.5043 3.5043 0.0000 3.5043 3.5043 3.5043 0.0000" Properties=species:S:1:pos:R:3 pbc="T T T"
Zn 3.5043 3.5043 3.5043
Br 1.7521 1.7521 1.7521
Br 5.2564 5.2564 5.2564
V 0.0000 0.0000 0.0000
```

Output
- Magnetic moment: 3.03 Bohr magnetons per cell
- Energy above the lowest structure with this stoichiometry: 206.6 kJ/mol of formula units
- Raw formation energy: 0.17 eV/atom
- SG: No. 225


# 13
Below is a geometry-optimized ZrVBr2 structure, with properties calculated at the PBE level.

extended XYZ file:
```
4
Lattice="-6.9618 5.1808 3.6234 -4.3342 6.3144 5.4570 -4.9554 7.6285 2.3847" Properties=species:S:1:pos:R:3 pbc="T T T"
Zr -8.1257 9.5618 5.7326
Br -14.7120 17.3121 10.3791
Br -1.5395 1.8115 1.0861
V 0.0000 0.0000 0.0000
```

Output
- Magnetic moment: 3.50 Bohr magnetons per cell
- Energy above the lowest structure with this stoichiometry: 0.0 kJ/mol of formula units
- Raw formation energy: -0.17 eV/atom
- SG: No. 166


# 14
Below is a geometry-optimized Zr2VBr structure, with properties calculated at the PBE level.

extended XYZ file:
```
8
Lattice="5.8244 0.0000 0.0000 0.0000 5.8244 0.0000 2.9122 2.9122 6.2756" Properties=species:S:1:pos:R:3 pbc="T T T"
Zr 3.9855 1.4561 1.5689
Zr 1.8389 4.3683 1.5689
Zr 4.3683 4.7511 4.7067
Zr 7.2805 6.8977 4.7067
Br 0.0000 0.0000 0.0000
Br 5.8244 2.9122 3.1378
V 2.9122 2.9122 0.0000
V 2.9122 5.8244 3.1378
```

Output
- Magnetic moment: 0.00 Bohr magnetons per cell
- Energy above the lowest structure with this stoichiometry: 170.1 kJ/mol of formula units
- Raw formation energy: 0.87 eV/atom
- SG: No. 122


# 15
Below is a geometry-optimized Zr2VBr structure, with properties calculated at the PBE level.

extended XYZ file:
```
4
Lattice="0.0000 3.4006 3.4006 3.4006 0.0000 3.4006 3.4006 3.4006 0.0000" Properties=species:S:1:pos:R:3 pbc="T T T"
Zr 1.7003 1.7003 1.7003
Zr 5.1009 5.1009 5.1009
Br 3.4006 3.4006 3.4006
V 0.0000 0.0000 0.0000
```

Output
- Magnetic moment: 0.00 Bohr magnetons per cell
- Energy above the lowest structure with this stoichiometry: 0.0 kJ/mol of formula units
- Raw formation energy: 0.43 eV/atom
- SG: No. 225


# 16
Below is a geometry-optimized ZrVBr2 structure, with properties calculated at the PBE level.

extended XYZ file:
```
4
Lattice="0.0000 3.3746 3.3746 3.3746 0.0000 3.3746 3.3746 3.3746 0.0000" Properties=species:S:1:pos:R:3 pbc="T T T"
Zr 3.3746 3.3746 3.3746
Br 1.6873 1.6873 1.6873
Br 5.0620 5.0620 5.0620
V 0.0000 0.0000 0.0000
```

Output
- Magnetic moment: 2.99 Bohr magnetons per cell
- Energy above the lowest structure with this stoichiometry: 110.9 kJ/mol of formula units
- Raw formation energy: 0.11 eV/atom
- SG: No. 225


# 17
Below is a geometry-optimized ZrV3Br structure, with properties calculated at the PBE level.

extended XYZ file:
```
5
Lattice="-2.5180 3.0009 -2.2046 0.3106 -2.4828 -3.7344 -3.7107 -2.2442 1.1834" Properties=species:S:1:pos:R:3 pbc="T T T"
Zr -2.9591 -0.8631 -2.3778
Br 0.0000 0.0000 0.0000
V 0.1553 -1.2414 -1.8672
V -1.8554 -1.1221 0.5917
V -1.2590 1.5005 -1.1023
```

Output
- Magnetic moment: 0.00 Bohr magnetons per cell
- Energy above the lowest structure with this stoichiometry: 0.0 kJ/mol of formula units
- Raw formation energy: 0.78 eV/atom
- SG: No. 221


# 18
Below is a geometry-optimized ZrVBr2 structure, with properties calculated at the PBE level.

extended XYZ file:
```
8
Lattice="-1.4820 -4.2671 -0.8531 1.2226 0.4566 -4.4078 7.7327 -5.0076 -0.7711" Properties=species:S:1:pos:R:3 pbc="T T T"
Zr 0.0000 0.0000 0.0000
Zr 3.0605 -5.5900 -2.1273
Br 1.1713 -3.8287 -1.2703
Br 2.5005 -1.5330 -3.0609
Br 5.7118 -5.1811 -2.5854
Br 5.5631 -7.0935 -5.1474
V -0.1297 -1.9053 -2.6305
V 4.4128 -3.2281 -3.9047
```

Output
- Magnetic moment: 5.72 Bohr magnetons per cell
- Energy above the lowest structure with this stoichiometry: 86.0 kJ/mol of formula units
- Raw formation energy: 0.05 eV/atom
- SG: No. 122


# 19
Below is a geometry-optimized ZrVBr3 structure, with properties calculated at the PBE level.

extended XYZ file:
```
5
Lattice="-1.9509 4.7411 -0.1855 -1.0278 -0.2265 5.0211 4.6321 1.9466 1.0360" Properties=species:S:1:pos:R:3 pbc="T T T"
Br -0.5139 -0.1133 2.5105
Br -0.9754 2.3706 -0.0927
Br 2.3161 0.9733 0.5180
Zr 0.8267 3.2306 2.9358
V 0.0000 0.0000 0.0000
```

Output
- Magnetic moment: 5.99 Bohr magnetons per cell
- Energy above the lowest structure with this stoichiometry: 47.3 kJ/mol of formula units
- Raw formation energy: 0.10 eV/atom
- SG: No. 221


# 20
Below is a geometry-optimized Zr2V2Br structure, with properties calculated at the PBE level.

extended XYZ file:
```
10
Lattice="-5.7814 3.5639 3.4229 -1.8713 -6.4550 3.5600 2.0534 0.8369 2.5969" Properties=species:S:1:pos:R:3 pbc="T T T"
Zr -1.3966 -3.3710 4.4359
Zr -4.4955 -2.3070 6.5432
Zr -4.2028 1.3169 5.1439
Zr -1.1039 0.2528 3.0365
Br 0.0000 0.0000 0.0000
Br -3.8264 -1.4455 3.4915
V -4.0401 -4.4003 4.6127
V -6.3482 -0.6088 5.2158
V -3.6127 1.5092 2.3702
V -1.3045 -2.2823 1.7671
```

Output
- Magnetic moment: 0.00 Bohr magnetons per cell
- Energy above the lowest structure with this stoichiometry: 0.0 kJ/mol of formula units
- Raw formation energy: 0.31 eV/atom
- SG: No. 127